Below is a relaxed structure of CsCa2B2O6, with properties calculated at the PBE-GGA level.

Formation energy from raw total energies: -2.461 eV per atom
Crystal system: monoclinic
Space group: C2/m (12)

a = 6.0959 Å, b = 6.1122 Å, c = 6.1402 Å
α = 112.18°, β = 90.00°, γ = 60.09°
Last column: magnetic moment on the atom in μB.
Fractional coordinates of all 11 atoms:
O 0.0010 0.3831 0.1672  0.15
O 0.9279 0.1441 0.3653  0.14
Ca 0.8216 0.3568 0.7994  0.00
Cs 0.5000 0.0000 0.5000  0.00
B 0.1500 0.7002 0.7639  -0.01
Ca 0.1784 0.6432 0.2006  0.00
O 0.3842 0.6171 0.8329  0.15
O 0.0721 0.8559 0.6347  0.14
O 0.9990 0.6169 0.8328  0.15
O 0.6158 0.3829 0.1671  0.15
B 0.8500 0.2998 0.2361  -0.01

Below is a relaxed structure of Cs3CaB2O6, with properties calculated at the PBE-GGA level.

Formation energy from raw total energies: -2.154 eV per atom
Crystal system: trigonal
Space group: P-3m1 (164)

a = 5.9161 Å, b = 5.9161 Å, c = 7.5351 Å
α = 90.00°, β = 90.00°, γ = 120.00°
Last column: magnetic moment on the atom in μB.
Fractional coordinates of all 12 atoms:
O 0.8025 0.1975 0.6817  0.14
O 0.1975 0.8025 0.3183  0.14
O 0.6050 0.8025 0.3183  0.14
Ca 0.0000 0.0000 0.5000  -0.01
Cs 0.0000 0.0000 0.0000  0.00
O 0.8025 0.6050 0.6817  0.14
Cs 0.6667 0.3333 0.2557  0.01
Cs 0.3333 0.6667 0.7443  0.01
B 0.3333 0.6667 0.3178  -0.01
B 0.6667 0.3333 0.6822  -0.01
O 0.3950 0.1975 0.6817  0.14
O 0.1975 0.3950 0.3183  0.14

Below is a relaxed structure of CsCaB2Pt, with properties calculated at the PBE-GGA level.

Crystal system: tetragonal
E_form: 2.16 eV/atom
Space group: P4/mmm (123)

a = 4.9198 Å, b = 6.2121 Å, c = 4.9198 Å
α = 90.00°, β = 90.00°, γ = 90.00°
Last column: magnetic moment on the atom in μB.
Fractional coordinates of all 5 atoms:
B 0.0000 0.0000 0.5000  0.07
Pt 0.5000 0.5000 0.5000  -0.03
B 0.5000 0.0000 0.0000  0.10
Ca 0.0000 0.0000 0.0000  0.08
Cs 0.0000 0.5000 0.0000  0.00

Below is a relaxed structure of Cs2CaB2S6, with properties calculated at the PBE-GGA level.

Formation energy from raw total energies: -0.867 eV per atom
Crystal system: monoclinic
Space group: C2/m (12)

a = 5.7177 Å, b = 6.9867 Å, c = 10.3049 Å
α = 116.30°, β = 90.00°, γ = 114.15°
Fractional coordinates of all 11 atoms:
S 0.2491 0.4983 0.3370
S 0.7653 0.0164 0.7440
S 0.7509 0.5017 0.6630
Ca 0.5000 0.0000 0.5000
Cs 0.6910 0.3820 0.1310
S 0.2511 0.0164 0.7440
S 0.7489 0.9836 0.2560
S 0.2347 0.9836 0.2560
B 0.0986 0.1972 0.2971
B 0.9014 0.8028 0.7029
Cs 0.3090 0.6180 0.8690